[1]
BaMgCd2Au: relaxed, PBE-GGA.

- raw total energy (eV per cell) = -10.4

Cell and atoms, written as CIF:
```
data_BaMgCd2Au
_chemical_formula_sum 'Ba1 Mg1 Cd2 Au1'
_symmetry_space_group_name_H-M 'P 1'
_symmetry_Int_Tables_number 1
_cell_length_a 7.114
_cell_length_b 7.114
_cell_length_c 7.114
_cell_angle_alpha 141.61
_cell_angle_beta 141.61
_cell_angle_gamma 55.41
loop_
_symmetry_equiv_pos_as_xyz
'x,y,z'
loop_
_atom_site_label
_atom_site_fract_x
_atom_site_fract_y
_atom_site_fract_z
Mg1 0.610 0.610 0.000
Ba1 0.989 0.989 0.000
Au1 0.396 0.396 0.000
Cd1 0.752 0.252 0.500
Cd2 0.252 0.752 0.500
```



[2]
ScBeZnPb: relaxed, PBE-GGA.

- excess energy over the best structure of this formula in the dataset (eV/atom) = 0.0561
- raw total energy (eV per cell) = -13.8

Cell and atoms, written as CIF:
```
data_ScBeZnPb
_chemical_formula_sum 'Sc1 Be1 Zn1 Pb1'
_symmetry_space_group_name_H-M 'P 1'
_symmetry_Int_Tables_number 1
_cell_length_a 4.773
_cell_length_b 4.773
_cell_length_c 4.773
_cell_angle_alpha 60.00
_cell_angle_beta 60.00
_cell_angle_gamma 60.00
loop_
_symmetry_equiv_pos_as_xyz
'x,y,z'
loop_
_atom_site_label
_atom_site_fract_x
_atom_site_fract_y
_atom_site_fract_z
Zn1 0.500 0.500 0.500
Be1 0.750 0.750 0.750
Pb1 0.250 0.250 0.250
Sc1 0.000 0.000 0.000
```



[3]
Mg3Sc2AgAu2: relaxed, PBE-GGA.

- raw total energy (eV per cell) = -30.5

Cell and atoms, written as CIF:
```
data_Mg3Sc2AgAu2
_chemical_formula_sum 'Mg3 Sc2 Ag1 Au2'
_symmetry_space_group_name_H-M 'P 1'
_symmetry_Int_Tables_number 1
_cell_length_a 4.770
_cell_length_b 4.770
_cell_length_c 6.747
_cell_angle_alpha 90.00
_cell_angle_beta 90.00
_cell_angle_gamma 90.00
loop_
_symmetry_equiv_pos_as_xyz
'x,y,z'
loop_
_atom_site_label
_atom_site_fract_x
_atom_site_fract_y
_atom_site_fract_z
Sc1 0.500 0.000 0.757
Au1 0.500 0.500 0.000
Sc2 0.000 0.500 0.243
Mg1 0.500 0.500 0.500
Mg2 0.000 0.500 0.756
Mg3 0.500 0.000 0.244
Ag1 0.000 0.000 0.000
Au2 0.000 0.000 0.500
```



Number 1: calculated density 7030 kg/m³. Number 2: calculated density 7052 kg/m³. Number 3: calculated density 7188 kg/m³.